This record from Alexandria via LeMat-Bulk describes a geometry-optimized CrSiP2 structure. The functional is GGA-PBE.

Lattice parameters (Å, degrees): 2.8631 2.8631 6.3687 90.00 90.00 90.00
With the nearest neighbours (Å) after each atom.
Space group P4/mmm (No. 123)
Inequivalent atoms, fractional coordinates:
1 Cr 0.0000 0.0000 0.0000  8 P 2.42
2 Si 0.0000 0.0000 0.5000  8 P 2.75, 4 Si 2.86
3 P 0.5000 0.5000 0.2080  4 Cr 2.42, 1 P 2.65

Output
- D(E_F): 1.83 states/eV/cell
- Formation energy from raw total energies: 0.058 eV per atom
- Magnetization: 0.0000 μB per atom
- Crystal system: tetragonal


This record from Alexandria via LeMat-Bulk describes a geometry-optimized CeSm10Tm6 structure. The functional is GGA-PBE.

Lattice parameters (Å, degrees): 9.7153 9.7153 6.8480 90.00 90.00 120.00
With the nearest neighbours (Å) after each atom.
Space group P-31m (No. 162)
Inequivalent atoms, fractional coordinates:
1 Ce 0.0000 0.0000 0.0000  6 Sm 3.45, 6 Tm 3.83
2 Sm 0.0000 0.2755 0.3175  5 Tm 3.36-3.59, 1 Ce 3.45, 2 Sm 3.66
3 Sm 0.3333 0.6667 0.0000  6 Tm 3.34, 2 Sm 3.42
4 Sm 0.3333 0.6667 0.5000  8 Sm 3.42-3.77, 6 Tm 3.74
5 Tm 0.0000 0.3709 0.8104  7 Sm 3.34-3.59, 1 Tm 3.61

Output
- D(E_F): 28.17 states/eV/cell
- DFT total energy: -4.551 eV per atom
- Magnetization: 0.0444 μB per atom
- Crystal system: trigonal


Copy entry 1 word for word.
This record from Alexandria via LeMat-Bulk describes a geometry-optimized CrSiP2 structure. The functional is GGA-PBE.

Lattice parameters (Å, degrees): 2.8631 2.8631 6.3687 90.00 90.00 90.00
With the nearest neighbours (Å) after each atom.
Space group P4/mmm (No. 123)
Inequivalent atoms, fractional coordinates:
1 Cr 0.0000 0.0000 0.0000  8 P 2.42
2 Si 0.0000 0.0000 0.5000  8 P 2.75, 4 Si 2.86
3 P 0.5000 0.5000 0.2080  4 Cr 2.42, 1 P 2.65

Output
- D(E_F): 1.83 states/eV/cell
- Formation energy from raw total energies: 0.058 eV per atom
- Magnetization: 0.0000 μB per atom
- Crystal system: tetragonal


- Which of these has the highest magnetization?
  CeSm10Tm6


Please write out number 2 again, unchanged.
This record from Alexandria via LeMat-Bulk describes a geometry-optimized CeSm10Tm6 structure. The functional is GGA-PBE.

Lattice parameters (Å, degrees): 9.7153 9.7153 6.8480 90.00 90.00 120.00
With the nearest neighbours (Å) after each atom.
Space group P-31m (No. 162)
Inequivalent atoms, fractional coordinates:
1 Ce 0.0000 0.0000 0.0000  6 Sm 3.45, 6 Tm 3.83
2 Sm 0.0000 0.2755 0.3175  5 Tm 3.36-3.59, 1 Ce 3.45, 2 Sm 3.66
3 Sm 0.3333 0.6667 0.0000  6 Tm 3.34, 2 Sm 3.42
4 Sm 0.3333 0.6667 0.5000  8 Sm 3.42-3.77, 6 Tm 3.74
5 Tm 0.0000 0.3709 0.8104  7 Sm 3.34-3.59, 1 Tm 3.61

Output
- D(E_F): 28.17 states/eV/cell
- DFT total energy: -4.551 eV per atom
- Magnetization: 0.0444 μB per atom
- Crystal system: trigonal


- Look up the magnetization of the second one.
  0.0444 μB per atom